(1)
AgPtAu2 | the Alexandria database | PBE | optimized geometry; ΔH_f (0 K) = -0.006 eV per atom; mass density = 16.77 g cm⁻³; energy above the most stable polymorph in this dataset = 0.011 eV/atom; final energy = -0.284 Ry/atom
1.0
5.018 0.006 -0.023
4.188 2.764 -0.023
0.815 0.245 4.981
Au Ag Pt
2 1 1
direct
0.999 0.999 0.997 Au
0.247 0.247 0.257 Au
0.753 0.753 0.748 Ag
0.501 0.501 0.497 Pt



(2)
Ag7PtAu3 | the Alexandria database | PBE | optimized geometry; ΔH_f (0 K) = 0.188 eV per atom; mass density = 11.78 g cm⁻³; final energy = -0.226 Ry/atom
1.0
-3.061 0.448 -4.076
-3.118 -3.544 5.269
0.041 5.880 3.933
Ag Pt Au
7 1 3
direct
0.189 0.178 0.178 Ag
0.334 0.081 0.587 Ag
0.666 0.413 0.919 Ag
0.334 0.587 0.081 Ag
0.000 0.500 0.500 Ag
0.666 0.919 0.413 Ag
0.811 0.822 0.822 Ag
0.500 0.500 0.500 Pt
0.000 0.767 0.233 Au
0.500 0.000 0.000 Au
0.000 0.233 0.767 Au



(3)
Ag2Pt2Au | the Alexandria database | PBE | optimized geometry; ΔH_f (0 K) = 0.269 eV per atom; mass density = 13.94 g cm⁻³; energy above the most stable polymorph in this dataset = 0.044 eV/atom; final energy = -0.290 Ry/atom
1.0
3.654 0.000 0.000
0.000 3.654 0.000
1.827 1.827 7.162
Au Ag Pt
1 2 2
direct
0.000 0.000 0.000 Au
0.404 0.404 0.193 Ag
0.596 0.596 0.807 Ag
0.750 0.250 0.500 Pt
0.250 0.750 0.500 Pt



(4)
Ag4PtAu7 | the Alexandria database | PBE | optimized geometry; ΔH_f (0 K) = -0.024 eV per atom; mass density = 15.68 g cm⁻³; energy above the most stable polymorph in this dataset = 0.000 eV/atom; final energy = -0.249 Ry/atom
1.0
5.102 -0.125 2.753
1.975 5.589 2.672
3.219 -0.276 9.062
Ag Pt Au
4 1 7
direct
0.499 0.667 0.334 Ag
0.501 0.333 0.666 Ag
0.748 0.833 0.668 Ag
0.252 0.167 0.332 Ag
0.000 0.000 0.000 Pt
0.754 0.496 0.999 Au
0.246 0.504 0.001 Au
0.003 0.332 0.666 Au
0.997 0.668 0.334 Au
0.245 0.836 0.670 Au
0.500 0.000 0.000 Au
0.755 0.164 0.330 Au



Question: Which of these has the highest mass density?
Answer: AgPtAu2